# Rb2PtSe4 | the Alexandria database | GGA-PBE | relaxed
# Formation energy (no corrections) (meV per atom): -372.9
data_Rb2PtSe4
_chemical_formula_sum 'Rb4 Pt2 Se8'
_symmetry_space_group_name_H-M 'I 4/m m m'
_symmetry_Int_Tables_number 139
_symmetry_space_group_name_Hall '-I 4 2'
_cell_length_a 5.2213
_cell_length_b 5.2213
_cell_length_c 16.9859
_cell_angle_alpha 90.00
_cell_angle_beta 90.00
_cell_angle_gamma 90.00
loop_
_atom_site_label
_atom_site_type_symbol
_atom_site_fract_x
_atom_site_fract_y
_atom_site_fract_z
Rb1 Rb 0.0000 0.0000 0.1441
Pt1 Pt 0.0000 0.0000 0.5000
Se1 Se 0.0000 0.0000 0.3565
Se2 Se 0.0000 0.5000 0.0000